1.
Crystalline Sm2Dy2Tm3 at its relaxed geometry, computed with PBE.

abc: 8.4772 8.4772 8.6456
angles: 115.63 115.63 23.72
With the nearest neighbours (Å) after each atom.
Fractional coordinates of all 7 atoms:
1 Sm 0.0799 0.0799 0.2020  3 Sm 3.32-3.48, 4 Tm 3.38-3.51, 2 Dy 3.56
2 Sm 0.9201 0.9201 0.7980  3 Sm 3.32-3.48, 4 Tm 3.38-3.51, 2 Dy 3.56
3 Dy 0.3617 0.3617 0.0929  4 Dy 3.48-3.75, 5 Tm 3.52-3.68, 4 Sm 3.56-3.74
4 Dy 0.6383 0.6383 0.9071  4 Dy 3.48-3.75, 5 Tm 3.52-3.68, 4 Sm 3.56-3.74
5 Tm 0.0000 0.0000 0.5000  4 Tm 3.30-3.48, 2 Sm 3.38, 4 Dy 3.68
6 Tm 0.2207 0.2207 0.6467  5 Tm 3.30-3.55, 3 Sm 3.45-3.51, 3 Dy 3.52-3.56
7 Tm 0.7793 0.7793 0.3533  5 Tm 3.30-3.55, 3 Sm 3.45-3.51, 3 Dy 3.52-3.56

Formation enthalpy at 0 K = 3.1 kcal/mol of atoms
Electronic total energy = -4.45 eV per atom

***

2.
Crystalline TbNi4Sn4 at its relaxed geometry, computed with PBE.

abc: 6.3665 6.3665 8.4397
angles: 90.00 90.00 90.00
With the nearest neighbours (Å) after each atom.
Fractional coordinates of all 18 atoms:
1 Tb 0.2500 0.7500 0.2500  12 Sn 3.40-3.75, 12 Ni 3.53-3.65
2 Tb 0.7500 0.2500 0.7500  12 Sn 3.40-3.75, 12 Ni 3.53-3.65
3 Ni 0.0562 0.2500 0.0987  1 Ni 2.47, 5 Sn 2.55-2.59
4 Ni 0.2500 0.0562 0.5987  1 Ni 2.47, 5 Sn 2.55-2.59
5 Ni 0.2500 0.4438 0.5987  1 Ni 2.47, 5 Sn 2.55-2.59
6 Ni 0.4438 0.2500 0.0987  1 Ni 2.47, 5 Sn 2.55-2.59
7 Ni 0.5562 0.7500 0.9013  1 Ni 2.47, 5 Sn 2.55-2.59
8 Ni 0.7500 0.5562 0.4013  1 Ni 2.47, 5 Sn 2.55-2.59
9 Ni 0.7500 0.9438 0.4013  1 Ni 2.47, 5 Sn 2.55-2.59
10 Ni 0.9438 0.7500 0.9013  1 Ni 2.47, 5 Sn 2.55-2.59
11 Sn 0.0094 0.2500 0.3984  5 Ni 2.55-2.59
12 Sn 0.2500 0.0094 0.8984  5 Ni 2.55-2.59
13 Sn 0.2500 0.4906 0.8984  5 Ni 2.55-2.59
14 Sn 0.4906 0.2500 0.3984  5 Ni 2.55-2.59
15 Sn 0.5094 0.7500 0.6016  5 Ni 2.55-2.59
16 Sn 0.7500 0.5094 0.1016  5 Ni 2.55-2.59
17 Sn 0.7500 0.9906 0.1016  5 Ni 2.55-2.59
18 Sn 0.9906 0.7500 0.6016  5 Ni 2.55-2.59

Formation enthalpy at 0 K = -5.6 kcal/mol of atoms
Electronic total energy = -5.11 eV per atom

***

3.
Crystalline Zr6Zn2Ni at its relaxed geometry, computed with PBE.

abc: 7.9256 7.9256 3.3026
angles: 90.00 90.00 120.00
With the nearest neighbours (Å) after each atom.
Fractional coordinates of all 9 atoms:
1 Zr 0.0000 0.2583 0.0000  2 Ni 2.63
2 Zr 0.0000 0.6005 0.5000  4 Zn 2.93, 1 Ni 3.17, 6 Zr 3.18-3.23
3 Zr 0.2583 0.0000 0.0000  2 Ni 2.63
4 Zr 0.3995 0.3995 0.5000  4 Zn 2.93, 1 Ni 3.17, 6 Zr 3.18-3.23
5 Zr 0.6005 0.0000 0.5000  4 Zn 2.93, 1 Ni 3.17, 6 Zr 3.18-3.23
6 Zr 0.7417 0.7417 0.0000  2 Ni 2.63
7 Zn 0.3333 0.6667 0.0000  9 Zr 2.93-2.98
8 Zn 0.6667 0.3333 0.0000  9 Zr 2.93-2.98
9 Ni 0.0000 0.0000 0.5000  6 Zr 2.63

Formation enthalpy at 0 K = -4.9 kcal/mol of atoms
Electronic total energy = -6.84 eV per atom

***

4.
Crystalline MgTiCdRh at its relaxed geometry, computed with PBE.

abc: 3.1982 3.1982 6.9401
angles: 90.00 90.00 90.00
With the nearest neighbours (Å) after each atom.
Fractional coordinates of all 4 atoms:
1 Mg 0.0000 0.0000 0.0000  4 Rh 2.86, 1 Ti 2.99, 4 Cd 3.02, 4 Mg 3.20
2 Ti 0.0000 0.0000 0.5685  4 Rh 2.58
3 Cd 0.5000 0.5000 0.2890  4 Ti 2.98, 4 Mg 3.02, 1 Rh 3.18, 4 Cd 3.20
4 Rh 0.5000 0.5000 0.7472  4 Ti 2.58, 4 Mg 2.86

Formation enthalpy at 0 K = -9.7 kcal/mol of atoms
Electronic total energy = -4.86 eV per atom

***

5.
Crystalline AcPr2Al6 at its relaxed geometry, computed with PBE.

abc: 7.7526 7.7526 4.4275
angles: 90.00 90.00 120.00
With the nearest neighbours (Å) after each atom.
Fractional coordinates of all 9 atoms:
1 Ac 0.0000 0.0000 0.0000  12 Al 3.42
2 Pr 0.3333 0.6667 0.0000  12 Al 3.39
3 Pr 0.6667 0.3333 0.0000  12 Al 3.39
4 Al 0.0000 0.3361 0.5000  3 Al 2.54-2.61
5 Al 0.0000 0.6639 0.5000  3 Al 2.54-2.61
6 Al 0.3361 0.0000 0.5000  3 Al 2.54-2.61
7 Al 0.3361 0.3361 0.5000  3 Al 2.54-2.61
8 Al 0.6639 0.0000 0.5000  3 Al 2.54-2.61
9 Al 0.6639 0.6639 0.5000  3 Al 2.54-2.61

Formation enthalpy at 0 K = -9.7 kcal/mol of atoms
Electronic total energy = -4.44 eV per atom

***

6.
Crystalline Cr2TcNi at its relaxed geometry, computed with PBE.

abc: 8.6430 8.6430 8.6430
angles: 17.29 17.29 17.29
With the nearest neighbours (Å) after each atom.
Fractional coordinates of all 4 atoms:
1 Cr 0.2471 0.2471 0.2471  3 Ni 2.54, 6 Cr 2.60, 3 Tc 2.66
2 Cr 0.7529 0.7529 0.7529  3 Ni 2.54, 6 Cr 2.60, 3 Tc 2.66
3 Tc 0.0000 0.0000 0.0000  6 Tc 2.60, 6 Cr 2.66
4 Ni 0.5000 0.5000 0.5000  6 Cr 2.54, 6 Ni 2.60

Formation enthalpy at 0 K = 5.5 kcal/mol of atoms
Electronic total energy = -8.61 eV per atom

***

7.
Crystalline NaCoIrS3 at its relaxed geometry, computed with PBE.

abc: 7.5482 3.6150 8.4292
angles: 90.00 108.68 90.00
With the nearest neighbours (Å) after each atom.
Fractional coordinates of all 12 atoms:
1 Na 0.2197 0.2500 0.2515  7 S 2.95-3.03
2 Na 0.7803 0.7500 0.7485  7 S 2.95-3.03
3 Co 0.0876 0.2500 0.6047  4 S 2.20-2.22
4 Co 0.9124 0.7500 0.3953  4 S 2.20-2.22
5 Ir 0.3177 0.7500 0.8408  6 S 2.41-2.45
6 Ir 0.6823 0.2500 0.1592  6 S 2.41-2.45
7 S 0.1179 0.2500 0.8729  1 Co 2.20, 2 Ir 2.42
8 S 0.2155 0.7500 0.5346  3 Co 2.21-2.22, 1 Ir 2.45
9 S 0.4653 0.7500 0.1407  3 Ir 2.41
10 S 0.5347 0.2500 0.8593  3 Ir 2.41
11 S 0.7845 0.2500 0.4654  3 Co 2.21-2.22, 1 Ir 2.45
12 S 0.8821 0.7500 0.1271  1 Co 2.20, 2 Ir 2.42

Electronic total energy = -5.48 eV per atom
ΔE_f (raw) = -0.5380 eV per atom

***

8.
Crystalline KAl6 at its relaxed geometry, computed with PBE.

abc: 6.4267 6.4267 6.4267
angles: 109.47 109.47 109.47
With the nearest neighbours (Å) after each atom.
Fractional coordinates of all 7 atoms:
1 K 0.0000 0.0000 0.0000  24 Al 4.15
2 Al 0.2500 0.5000 0.7500  4 Al 2.62
3 Al 0.2500 0.7500 0.5000  4 Al 2.62
4 Al 0.5000 0.2500 0.7500  4 Al 2.62
5 Al 0.5000 0.7500 0.2500  4 Al 2.62
6 Al 0.7500 0.2500 0.5000  4 Al 2.62
7 Al 0.7500 0.5000 0.2500  4 Al 2.62

Formation enthalpy at 0 K = 9.3 kcal/mol of atoms
Electronic total energy = -2.96 eV per atom

***

9.
Crystalline CsSe2I at its relaxed geometry, computed with PBE.

abc: 6.7406 6.7406 6.7406
angles: 53.54 53.54 53.54
With the nearest neighbours (Å) after each atom.
Fractional coordinates of all 4 atoms:
1 Cs 0.0000 0.0000 0.0000  6 Se 3.51
2 Se 0.3402 0.3402 0.3402  1 I 2.76
3 Se 0.6598 0.6598 0.6598  1 I 2.76
4 I 0.5000 0.5000 0.5000  2 Se 2.76

Electronic total energy = -2.57 eV per atom
ΔE_f (raw) = -0.2241 eV per atom

***

10.
Crystalline CrHPd3 at its relaxed geometry, computed with PBE.

abc: 7.4168 7.4168 7.4168
angles: 60.00 60.00 60.00
With the nearest neighbours (Å) after each atom.
Fractional coordinates of all 20 atoms:
1 Cr 0.0000 0.0000 0.0000  6 Pd 2.64
2 Cr 0.0000 0.0000 0.5000  6 Pd 2.64
3 Cr 0.0000 0.5000 0.0000  6 Pd 2.64
4 Cr 0.5000 0.0000 0.0000  6 Pd 2.64
5 H 0.0000 0.5000 0.5000  6 Pd 2.00
6 H 0.5000 0.0000 0.5000  6 Pd 2.00
7 H 0.5000 0.5000 0.0000  6 Pd 2.00
8 H 0.5000 0.5000 0.5000  6 Pd 2.00
9 Pd 0.1798 0.1798 0.5702  2 H 2.00
10 Pd 0.1798 0.5702 0.1798  2 H 2.00
11 Pd 0.1798 0.5702 0.5702  2 H 2.00
12 Pd 0.4298 0.4298 0.8202  2 H 2.00
13 Pd 0.4298 0.8202 0.4298  2 H 2.00
14 Pd 0.4298 0.8202 0.8202  2 H 2.00
15 Pd 0.5702 0.1798 0.1798  2 H 2.00
16 Pd 0.5702 0.1798 0.5702  2 H 2.00
17 Pd 0.5702 0.5702 0.1798  2 H 2.00
18 Pd 0.8202 0.4298 0.4298  2 H 2.00
19 Pd 0.8202 0.4298 0.8202  2 H 2.00
20 Pd 0.8202 0.8202 0.4298  2 H 2.00

Electronic total energy = -5.54 eV per atom

***

11.
Crystalline PrSm2Zn2 at its relaxed geometry, computed with PBE.

abc: 8.5034 8.5034 3.6056
angles: 90.00 90.00 149.07
With the nearest neighbours (Å) after each atom.
Fractional coordinates of all 5 atoms:
1 Pr 0.0000 0.0000 0.0000  2 Zn 3.36, 2 Pr 3.61, 8 Sm 3.66
2 Sm 0.3638 0.6362 0.5000  6 Zn 3.11-3.17
3 Sm 0.6362 0.3638 0.5000  6 Zn 3.11-3.17
4 Zn 0.2047 0.7953 0.0000  2 Zn 2.71
5 Zn 0.7953 0.2047 0.0000  2 Zn 2.71

Formation enthalpy at 0 K = -4.2 kcal/mol of atoms
Electronic total energy = -3.54 eV per atom

***

12.
Crystalline Sc5Cd2CuRh2 at its relaxed geometry, computed with PBE.

abc: 10.9814 10.9814 3.3853
angles: 90.00 90.00 90.00
With the nearest neighbours (Å) after each atom.
Fractional coordinates of all 20 atoms:
1 Sc 0.0000 0.5000 0.0000  4 Rh 2.65
2 Sc 0.0728 0.1966 0.0000  2 Rh 2.62, 2 Cu 2.86
3 Sc 0.1966 0.9272 0.0000  2 Rh 2.62, 2 Cu 2.86
4 Sc 0.3034 0.4272 0.0000  2 Rh 2.62, 2 Cu 2.86
5 Sc 0.4272 0.6966 0.0000  2 Rh 2.62, 2 Cu 2.86
6 Sc 0.5000 0.0000 0.0000  4 Rh 2.65
7 Sc 0.5728 0.3034 0.0000  2 Rh 2.62, 2 Cu 2.86
8 Sc 0.6966 0.5728 0.0000  2 Rh 2.62, 2 Cu 2.86
9 Sc 0.8034 0.0728 0.0000  2 Rh 2.62, 2 Cu 2.86
10 Sc 0.9272 0.8034 0.0000  2 Rh 2.62, 2 Cu 2.86
11 Cd 0.1726 0.6726 0.5000  3 Rh 3.04-3.37, 6 Sc 3.17-3.28, 2 Cd 3.39
12 Cd 0.3274 0.1726 0.5000  3 Rh 3.04-3.37, 6 Sc 3.17-3.28, 2 Cd 3.39
13 Cd 0.6726 0.8274 0.5000  3 Rh 3.04-3.37, 6 Sc 3.17-3.28, 2 Cd 3.39
14 Cd 0.8274 0.3274 0.5000  3 Rh 3.04-3.37, 6 Sc 3.17-3.28, 2 Cd 3.39
15 Cu 0.0000 0.0000 0.5000  8 Sc 2.86
16 Cu 0.5000 0.5000 0.5000  8 Sc 2.86
17 Rh 0.1315 0.3685 0.5000  6 Sc 2.62-2.65
18 Rh 0.3685 0.8685 0.5000  6 Sc 2.62-2.65
19 Rh 0.6315 0.1315 0.5000  6 Sc 2.62-2.65
20 Rh 0.8685 0.6315 0.5000  6 Sc 2.62-2.65

Formation enthalpy at 0 K = -11.1 kcal/mol of atoms
Electronic total energy = -5.71 eV per atom

***

Q: Which value of electronic total energy does entry 3 give?
A: -6.84 eV per atom

***

Q: Among the records above, which one has the highest electronic total energy?
A: CsSe2I